The following is a DFT calculation (PBE) of crystalline GeAu2N at its relaxed geometry.

POSCAR file:
```
GeAu2N
1.0
0.000 3.132 3.132
3.132 0.000 3.132
3.132 3.132 0.000
Ge Au N
1 2 1
Cartesian
3.132 3.132 3.132
1.566 1.566 1.566
4.698 4.698 4.698
0.000 0.000 0.000
```

Calculated values
The calculated volume comes out at 61 Å³/cell. For the density of states at the Fermi level, the calculation gives 0.308 states/eV per atom. The calculated density comes out at 13.0 g/cm3. For the relative energy among the computed polymorphs, the calculation gives 0.220 eV/atom. The uncorrected formation energy is 1.019 eV/atom. The total energy comes out at -3.86 eV per atom.